Compound: Zn2PbAu2
Source: Alexandria
Functional: PBE
Structure: optimized geometry

Symmetry ... No. 127
Polymorph energy (0 for the lowest one) ... 0.0509 eV per atom
DOS(E_F) ... 3.2 states/eV/cell
Energy of formation ... -0.5 eV/f.u.

a = 7.992 Å, b = 7.992 Å, c = 3.030 Å
α = 90.00°, β = 90.00°, γ = 90.00°
Fractional coordinates of all 10 atoms:
Zn: 0.161 0.661 0.500
Pb: 0.500 0.500 0.000
Zn: 0.661 0.839 0.500
Pb: 0.000 0.000 0.000
Au: 0.366 0.866 0.000
Au: 0.134 0.366 0.000
Au: 0.634 0.134 0.000
Zn: 0.339 0.161 0.500
Au: 0.866 0.634 0.000
Zn: 0.839 0.339 0.500